(1)
Rb2USnTe5 after structural relaxation, computed with PBE-GGA.

Results
M_tot = 3.34 Bohr magnetons per cell
energy relative to the elements, uncorrected = -0.642 eV/atom
DFT total energy = -77.4 eV per cell

POSCAR file:
```
Rb2USnTe5
1.0
-4.249 -1.774 0.757
5.603 -3.582 8.674
-3.897 12.634 7.735
Rb U Sn Te
4 2 2 10
Direct
0.874 0.748 0.828 Rb
0.126 0.253 0.687 Rb
0.126 0.252 0.328 Rb
0.874 0.747 0.187 Rb
0.799 0.598 0.528 U
0.201 0.402 0.028 U
0.559 0.118 0.924 Sn
0.441 0.882 0.424 Sn
0.334 0.668 0.007 Te
0.692 0.384 0.890 Te
0.501 0.001 0.766 Te
0.306 0.611 0.654 Te
0.948 0.897 0.539 Te
0.666 0.332 0.507 Te
0.308 0.616 0.390 Te
0.499 0.999 0.266 Te
0.694 0.389 0.154 Te
0.052 0.103 0.039 Te
```

(2)
Er4GaHS2 after structural relaxation, computed with PBE-GGA.

Results
M_tot = 0.00 Bohr magnetons per cell
DFT total energy = -42.1 eV per cell

POSCAR file:
```
Er4GaHS2
1.0
-4.507 -0.783 -3.066
2.054 -4.752 -1.879
-1.154 0.084 6.657
Er Ga H S
4 1 1 2
Direct
0.970 0.431 0.000 Er
0.431 0.970 0.000 Er
0.197 0.197 0.507 Er
0.690 0.690 0.493 Er
0.930 0.930 0.000 Ga
0.392 0.392 0.000 H
0.194 0.694 0.500 S
0.694 0.194 0.500 S
```

(3)
Na2NbAgRu after structural relaxation, computed with PBE-GGA.

Results
M_tot = 1.03 Bohr magnetons per cell
DFT total energy = -18.3 eV per cell

POSCAR file:
```
Na2NbAgRu
1.0
5.818 0.000 0.000
0.000 4.533 0.000
0.000 0.000 5.818
Ru Nb Ag Na
1 1 1 2
Direct
0.000 0.500 0.000 Ru
0.000 0.000 0.000 Nb
0.500 0.500 0.500 Ag
0.000 0.000 0.500 Na
0.500 0.000 0.000 Na
```

(4)
AcCe2HoTe5 after structural relaxation, computed with PBE-GGA.

Results
M_tot = 3.51 Bohr magnetons per cell
energy relative to the elements, uncorrected = -0.927 eV/atom
DFT total energy = -44.6 eV per cell

POSCAR file:
```
AcCe2HoTe5
1.0
5.520 0.000 0.000
0.000 5.520 0.000
0.000 0.000 12.195
Ac Ce Ho Te
1 2 1 5
Direct
0.000 0.000 0.000 Ac
0.500 0.500 0.342 Ce
0.500 0.500 0.658 Ce
0.000 0.000 0.500 Ho
0.000 0.500 0.500 Te
0.500 0.000 0.500 Te
0.000 0.000 0.744 Te
0.000 0.000 0.256 Te
0.500 0.500 0.000 Te
```